1.
A crystal of Sr10Al2ClF25 relaxed with PBEsol, computed with SCAN.

Cell: 11.5374 11.5374 11.5374 Å, 60.00 60.00 60.00°
Fractional positions:
Sr  0.1315  0.7895  0.7895
Sr  0.1809  0.1809  0.5691
Sr  0.1809  0.5691  0.1809
Sr  0.1809  0.5691  0.5691
Sr  0.2105  0.2105  0.2105
Sr  0.2105  0.2105  0.8685
Sr  0.2105  0.8685  0.2105
Sr  0.4309  0.4309  0.8191
Sr  0.4309  0.8191  0.4309
Sr  0.4309  0.8191  0.8191
Sr  0.5691  0.1809  0.1809
Sr  0.5691  0.1809  0.5691
Sr  0.5691  0.5691  0.1809
Sr  0.7895  0.1315  0.7895
Sr  0.7895  0.7895  0.1315
Sr  0.7895  0.7895  0.7895
Sr  0.8191  0.4309  0.4309
Sr  0.8191  0.4309  0.8191
Sr  0.8191  0.8191  0.4309
Sr  0.8685  0.2105  0.2105
Al  0.0000  0.0000  0.0000
Al  0.0000  0.0000  0.5000
Al  0.0000  0.5000  0.0000
Al  0.5000  0.0000  0.0000
Cl  0.3750  0.3750  0.3750
Cl  0.6250  0.6250  0.6250
F  0.0380  0.0380  0.6076
F  0.0380  0.0380  0.8164
F  0.0380  0.6076  0.0380
F  0.0380  0.6076  0.8164
F  0.0380  0.8164  0.0380
F  0.0380  0.8164  0.6076
F  0.0995  0.3575  0.3575
F  0.0995  0.3575  0.6855
F  0.0995  0.6855  0.3575
F  0.1250  0.1250  0.1250
F  0.1836  0.3924  0.9620
F  0.1836  0.9620  0.3924
F  0.1836  0.9620  0.9620
F  0.3145  0.6425  0.6425
F  0.3145  0.6425  0.9005
F  0.3145  0.9005  0.6425
F  0.3575  0.0995  0.3575
F  0.3575  0.0995  0.6855
F  0.3575  0.3575  0.0995
F  0.3575  0.3575  0.6855
F  0.3575  0.6855  0.0995
F  0.3575  0.6855  0.3575
F  0.3924  0.1836  0.9620
F  0.3924  0.9620  0.1836
F  0.3924  0.9620  0.9620
F  0.6076  0.0380  0.0380
F  0.6076  0.0380  0.8164
F  0.6076  0.8164  0.0380
F  0.6425  0.3145  0.6425
F  0.6425  0.3145  0.9005
F  0.6425  0.6425  0.3145
F  0.6425  0.6425  0.9005
F  0.6425  0.9005  0.3145
F  0.6425  0.9005  0.6425
F  0.6855  0.0995  0.3575
F  0.6855  0.3575  0.0995
F  0.6855  0.3575  0.3575
F  0.8164  0.0380  0.0380
F  0.8164  0.0380  0.6076
F  0.8164  0.6076  0.0380
F  0.8750  0.8750  0.8750
F  0.9005  0.3145  0.6425
F  0.9005  0.6425  0.3145
F  0.9005  0.6425  0.6425
F  0.9620  0.1836  0.3924
F  0.9620  0.1836  0.9620
F  0.9620  0.3924  0.1836
F  0.9620  0.3924  0.9620
F  0.9620  0.9620  0.1836
F  0.9620  0.9620  0.3924

**Crystal system**: cubic
**Space-group type**: Fd-3m (227)
**DOS at the Fermi energy**: 0.00 states/eV/f.u.

=====

2.
A crystal of Mg4Te3Se relaxed with PBEsol, computed with SCAN.

Cell: 4.4736 4.4736 12.5837 Å, 90.00 90.00 90.00°
Fractional positions:
Mg  0.0000  0.5000  0.1075
Mg  0.0000  0.5000  0.6313
Mg  0.5000  0.0000  0.3687
Mg  0.5000  0.0000  0.8925
Te  0.0000  0.0000  0.2379
Te  0.0000  0.0000  0.7621
Te  0.5000  0.5000  0.5000
Se  0.5000  0.5000  0.0000

**Crystal system**: tetragonal
**Space-group type**: P-4m2 (115)
**DOS at the Fermi energy**: 0.00 states/eV/f.u.

=====

3.
A crystal of ScZnH2Pt relaxed with PBEsol, computed with SCAN.

Cell: 3.5477 3.5477 5.5367 Å, 90.00 90.00 90.00°
Fractional positions:
Sc  0.0000  0.0000  0.0000
Zn  0.0000  0.0000  0.5000
H  0.0000  0.5000  0.0000
H  0.5000  0.0000  0.0000
Pt  0.5000  0.5000  0.5000

**Crystal system**: tetragonal
**Space-group type**: P4/mmm (123)
**DOS at the Fermi energy**: 1.21 states/eV/f.u.

=====

4.
A crystal of Li3Al relaxed with PBEsol, computed with SCAN.

Cell: 5.7475 5.7475 9.3464 Å, 90.00 90.00 120.00°
Fractional positions:
Li  0.0000  0.5000  0.0000
Li  0.0000  0.5000  0.5000
Li  0.1604  0.3209  0.2500
Li  0.1604  0.8396  0.2500
Li  0.3209  0.1604  0.7500
Li  0.5000  0.0000  0.0000
Li  0.5000  0.0000  0.5000
Li  0.5000  0.5000  0.0000
Li  0.5000  0.5000  0.5000
Li  0.6791  0.8396  0.2500
Li  0.8396  0.1604  0.7500
Li  0.8396  0.6791  0.7500
Al  0.0000  0.0000  0.0000
Al  0.0000  0.0000  0.5000
Al  0.3333  0.6667  0.7500
Al  0.6667  0.3333  0.2500

**Crystal system**: hexagonal
**Space-group type**: P6_3/mmc (194)
**DOS at the Fermi energy**: 1.48 states/eV/f.u.
**Calculated formation energy**: -0.0376 eV per atom

=====

no.,calculated total energy (eV/atom)
1,-12.900
2,-20.059
3,-20.979
4,-3.768